LaEr2WO8 | the Alexandria database | GGA+U | relaxed; DFT total energy = -7.951 eV/atom; volume = 14.72 Å³ per atom
1.0
5.011 -0.043 -0.003
-0.015 5.010 -0.005
0.004 0.008 7.036
La Er W O
1 2 1 8
Direct
0.000 0.000 0.500
0.500 0.500 0.762
0.500 0.500 0.238
0.000 0.000 0.000
0.186 0.813 0.203
0.720 0.721 0.000
0.814 0.187 0.203
0.814 0.187 0.797
0.280 0.279 0.000
0.186 0.813 0.797
0.677 0.679 0.500
0.323 0.321 0.500